No. 1
# SrLaSe

An optimized crystal structure of SrLaSe (PBE, Alexandria).

Calculated values
**D(E_F)**: 1.4 states/eV/f.u.
**Offset from the most stable computed form**: 0.0000 eV/atom
**ΔE_f (raw)**: -1.17 eV per atom
**Crystal system**: trigonal
**Total energy**: -13.60 eV per cell

```
data_SrLaSe
_chemical_formula_sum 'Sr1 La1 Se1'
_space_group_name_H-M_alt 'P 1'
_space_group_IT_number 1
_cell_length_a 4.183
_cell_length_b 4.183
_cell_length_c 7.281
_cell_angle_alpha 90.00
_cell_angle_beta 90.00
_cell_angle_gamma 120.00
loop_
_space_group_symop_operation_xyz
'x,y,z'
loop_
_atom_site_label
_atom_site_type_symbol
_atom_site_fract_x
_atom_site_fract_y
_atom_site_fract_z
La1 La 0.000 0.000 0.075
Se1 Se 0.667 0.333 0.327
Sr1 Sr 0.333 0.667 0.598
```

No. 2
# LiSmSiPt

An optimized crystal structure of LiSmSiPt (PBE, Alexandria).

Calculated values
**ΔE_f (raw)**: -0.75 eV per atom
**Crystal system**: cubic
**Total energy**: -21.10 eV per cell

```
data_LiSmSiPt
_chemical_formula_sum 'Li1 Sm1 Si1 Pt1'
_space_group_name_H-M_alt 'P 1'
_space_group_IT_number 1
_cell_length_a 4.636
_cell_length_b 4.636
_cell_length_c 4.636
_cell_angle_alpha 60.00
_cell_angle_beta 60.00
_cell_angle_gamma 60.00
loop_
_space_group_symop_operation_xyz
'x,y,z'
loop_
_atom_site_label
_atom_site_type_symbol
_atom_site_fract_x
_atom_site_fract_y
_atom_site_fract_z
Sm1 Sm 0.500 0.500 0.500
Li1 Li 0.250 0.250 0.250
Si1 Si 0.000 0.000 0.000
Pt1 Pt 0.750 0.750 0.750
```

No. 3
# FeTe2Ir

An optimized crystal structure of FeTe2Ir (PBE, Alexandria).

Calculated values
**D(E_F)**: 4.1 states/eV/f.u.
**Offset from the most stable computed form**: 0.3224 eV/atom
**ΔE_f (raw)**: 0.32 eV per atom
**Crystal system**: tetragonal
**Total energy**: -44.62 eV per cell

```
data_FeTe2Ir
_chemical_formula_sum 'Fe2 Te4 Ir2'
_space_group_name_H-M_alt 'P 1'
_space_group_IT_number 1
_cell_length_a 5.809
_cell_length_b 5.809
_cell_length_c 7.071
_cell_angle_alpha 65.75
_cell_angle_beta 65.75
_cell_angle_gamma 90.00
loop_
_space_group_symop_operation_xyz
'x,y,z'
loop_
_atom_site_label
_atom_site_type_symbol
_atom_site_fract_x
_atom_site_fract_y
_atom_site_fract_z
Te1 Te 0.375 0.394 0.750
Te2 Te 0.875 0.856 0.750
Te3 Te 0.606 0.125 0.250
Te4 Te 0.144 0.625 0.250
Ir1 Ir 0.750 0.250 0.500
Ir2 Ir 0.000 0.000 0.000
Fe1 Fe 0.250 0.750 0.500
Fe2 Fe 0.500 0.500 0.000
```

No. 4
# Nd6IrRh2I3

An optimized crystal structure of Nd6IrRh2I3 (PBE, Alexandria).

Calculated values
**D(E_F)**: 2.9 states/eV/f.u.
**ΔE_f (raw)**: -0.95 eV per atom
**Crystal system**: monoclinic
**Total energy**: -68.23 eV per cell

```
data_Nd6IrRh2I3
_chemical_formula_sum 'Nd6 Ir1 Rh2 I3'
_space_group_name_H-M_alt 'P 1'
_space_group_IT_number 1
_cell_length_a 7.263
_cell_length_b 7.263
_cell_length_c 8.501
_cell_angle_alpha 98.19
_cell_angle_beta 98.19
_cell_angle_gamma 120.01
loop_
_space_group_symop_operation_xyz
'x,y,z'
loop_
_atom_site_label
_atom_site_type_symbol
_atom_site_fract_x
_atom_site_fract_y
_atom_site_fract_z
Nd1 Nd 0.938 0.606 0.815
Nd2 Nd 0.394 0.062 0.185
Nd3 Nd 0.606 0.938 0.815
Nd4 Nd 0.729 0.729 0.185
Nd5 Nd 0.062 0.394 0.185
Nd6 Nd 0.271 0.271 0.815
I1 I 0.500 0.500 0.500
I2 I 0.167 0.833 0.500
I3 I 0.833 0.167 0.500
Ir1 Ir 0.000 0.000 0.000
Rh1 Rh 0.333 0.667 0.000
Rh2 Rh 0.667 0.333 0.000
```

No. 5
# KCePm4Se8

An optimized crystal structure of KCePm4Se8 (PBE, Alexandria).

Calculated values
**D(E_F)**: 8.2 states/eV/f.u.
**ΔE_f (raw)**: -1.74 eV per atom
**Crystal system**: trigonal
**Total energy**: -78.23 eV per cell

```
data_KCePm4Se8
_chemical_formula_sum 'K1 Ce1 Pm4 Se8'
_space_group_name_H-M_alt 'P 1'
_space_group_IT_number 1
_cell_length_a 8.777
_cell_length_b 8.777
_cell_length_c 8.826
_cell_angle_alpha 60.18
_cell_angle_beta 60.18
_cell_angle_gamma 60.00
loop_
_space_group_symop_operation_xyz
'x,y,z'
loop_
_atom_site_label
_atom_site_type_symbol
_atom_site_fract_x
_atom_site_fract_y
_atom_site_fract_z
Se1 Se 0.756 0.228 0.260
Se2 Se 0.758 0.758 0.727
Se3 Se 0.756 0.756 0.260
Se4 Se 0.235 0.235 0.733
Se5 Se 0.235 0.235 0.294
Se6 Se 0.235 0.796 0.733
Se7 Se 0.796 0.235 0.733
Se8 Se 0.228 0.756 0.260
Pm1 Pm 0.005 0.487 0.504
Pm2 Pm 0.487 0.005 0.504
Pm3 Pm 0.005 0.005 0.504
Pm4 Pm 0.626 0.626 0.123
Ce1 Ce 0.003 0.003 0.990
K1 K 0.375 0.375 0.875
```

No. 6
# TaFePt2

An optimized crystal structure of TaFePt2 (PBE, Alexandria).

Calculated values
**D(E_F)**: 2.3 states/eV/f.u.
**Offset from the most stable computed form**: 0.0000 eV/atom
**Formation enthalpy at 0 K**: -222 kJ/mol of formula units
**Crystal system**: tetragonal
**Total energy**: -34.69 eV per cell

```
data_TaFePt2
_chemical_formula_sum 'Ta1 Fe1 Pt2'
_space_group_name_H-M_alt 'P 1'
_space_group_IT_number 1
_cell_length_a 4.841
_cell_length_b 4.841
_cell_length_c 4.841
_cell_angle_alpha 132.63
_cell_angle_beta 132.64
_cell_angle_gamma 69.23
loop_
_space_group_symop_operation_xyz
'x,y,z'
loop_
_atom_site_label
_atom_site_type_symbol
_atom_site_fract_x
_atom_site_fract_y
_atom_site_fract_z
Pt1 Pt 0.500 0.500 0.000
Pt2 Pt 0.000 0.000 0.000
Ta1 Ta 0.750 0.250 0.500
Fe1 Fe 0.250 0.750 0.500
```

No. 7
# Tc2AgHg

An optimized crystal structure of Tc2AgHg (PBE, Alexandria).

Calculated values
**D(E_F)**: 4.7 states/eV/f.u.
**Formation enthalpy at 0 K**: 260 kJ/mol of formula units
**Crystal system**: tetragonal
**Total energy**: -21.19 eV per cell

```
data_Tc2AgHg
_chemical_formula_sum 'Tc2 Ag1 Hg1'
_space_group_name_H-M_alt 'P 1'
_space_group_IT_number 1
_cell_length_a 4.577
_cell_length_b 3.823
_cell_length_c 3.823
_cell_angle_alpha 90.00
_cell_angle_beta 90.00
_cell_angle_gamma 90.00
loop_
_space_group_symop_operation_xyz
'x,y,z'
loop_
_atom_site_label
_atom_site_type_symbol
_atom_site_fract_x
_atom_site_fract_y
_atom_site_fract_z
Tc1 Tc 0.000 0.000 0.000
Tc2 Tc 0.000 0.500 0.500
Hg1 Hg 0.500 0.000 0.500
Ag1 Ag 0.500 0.500 0.000
```

No. 8
# LiCdO2F

An optimized crystal structure of LiCdO2F (PBE, Alexandria).

Calculated values
**D(E_F)**: 4.9 states/eV/f.u.
**ΔE_f (raw)**: -0.84 eV per atom
**Crystal system**: tetragonal
**Total energy**: -18.83 eV per cell

```
data_LiCdO2F
_chemical_formula_sum 'Li1 Cd1 O2 F1'
_space_group_name_H-M_alt 'P 1'
_space_group_IT_number 1
_cell_length_a 3.758
_cell_length_b 3.758
_cell_length_c 3.806
_cell_angle_alpha 90.00
_cell_angle_beta 90.00
_cell_angle_gamma 90.00
loop_
_space_group_symop_operation_xyz
'x,y,z'
loop_
_atom_site_label
_atom_site_type_symbol
_atom_site_fract_x
_atom_site_fract_y
_atom_site_fract_z
Cd1 Cd 0.500 0.500 0.500
F1 F 0.000 0.000 0.500
Li1 Li 0.000 0.000 0.000
O1 O 0.000 0.500 0.000
O2 O 0.500 0.000 0.000
```

No. 9
# Pm7GaC2

An optimized crystal structure of Pm7GaC2 (PBE, Alexandria).

Calculated values
**D(E_F)**: 10.7 states/eV/f.u.
**Formation enthalpy at 0 K**: 52 kJ/mol of formula units
**Crystal system**: orthorhombic
**Total energy**: -54.19 eV per cell

```
data_Pm7GaC2
_chemical_formula_sum 'Pm7 Ga1 C2'
_space_group_name_H-M_alt 'P 1'
_space_group_IT_number 1
_cell_length_a 3.794
_cell_length_b 10.002
_cell_length_c 10.002
_cell_angle_alpha 131.70
_cell_angle_beta 90.00
_cell_angle_gamma 90.00
loop_
_space_group_symop_operation_xyz
'x,y,z'
loop_
_atom_site_label
_atom_site_type_symbol
_atom_site_fract_x
_atom_site_fract_y
_atom_site_fract_z
C1 C 0.500 0.635 0.365
C2 C 0.500 0.365 0.635
Pm1 Pm 0.000 0.284 0.716
Pm2 Pm 0.500 0.500 0.500
Pm3 Pm 0.500 0.314 0.084
Pm4 Pm 0.000 0.716 0.284
Pm5 Pm 0.500 0.084 0.314
Pm6 Pm 0.500 0.916 0.686
Pm7 Pm 0.500 0.686 0.916
Ga1 Ga 0.000 0.000 0.000
```

No. 10
# Na3Cd

An optimized crystal structure of Na3Cd (PBE, Alexandria).

Calculated values
**D(E_F)**: 1.6 states/eV/f.u.
**Formation enthalpy at 0 K**: -17 kJ/mol of formula units
**Crystal system**: hexagonal
**Total energy**: -10.09 eV per cell

```
data_Na3Cd
_chemical_formula_sum 'Na6 Cd2'
_space_group_name_H-M_alt 'P 1'
_space_group_IT_number 1
_cell_length_a 7.012
_cell_length_b 7.012
_cell_length_c 5.657
_cell_angle_alpha 90.00
_cell_angle_beta 90.00
_cell_angle_gamma 120.00
loop_
_space_group_symop_operation_xyz
'x,y,z'
loop_
_atom_site_label
_atom_site_type_symbol
_atom_site_fract_x
_atom_site_fract_y
_atom_site_fract_z
Cd1 Cd 0.667 0.333 0.250
Cd2 Cd 0.333 0.667 0.750
Na1 Na 0.344 0.172 0.750
Na2 Na 0.828 0.656 0.750
Na3 Na 0.172 0.828 0.250
Na4 Na 0.656 0.828 0.250
Na5 Na 0.828 0.172 0.750
Na6 Na 0.172 0.344 0.250
```

No. 11
# LaCrPt2

An optimized crystal structure of LaCrPt2 (PBE, Alexandria).

Calculated values
**D(E_F)**: 2.4 states/eV/f.u.
**Offset from the most stable computed form**: 0.2162 eV/atom
**Formation enthalpy at 0 K**: -171 kJ/mol of formula units
**Crystal system**: cubic
**Total energy**: -28.41 eV per cell

```
data_LaCrPt2
_chemical_formula_sum 'La1 Cr1 Pt2'
_space_group_name_H-M_alt 'P 1'
_space_group_IT_number 1
_cell_length_a 4.865
_cell_length_b 4.865
_cell_length_c 4.865
_cell_angle_alpha 60.00
_cell_angle_beta 60.00
_cell_angle_gamma 60.00
loop_
_space_group_symop_operation_xyz
'x,y,z'
loop_
_atom_site_label
_atom_site_type_symbol
_atom_site_fract_x
_atom_site_fract_y
_atom_site_fract_z
Pt1 Pt 0.750 0.750 0.750
Pt2 Pt 0.250 0.250 0.250
Cr1 Cr 0.000 0.000 0.000
La1 La 0.500 0.500 0.500
```

No. 12
# Pm3YSn3

An optimized crystal structure of Pm3YSn3 (PBE, Alexandria).

Calculated values
**D(E_F)**: 6.7 states/eV/f.u.
**Formation enthalpy at 0 K**: -393 kJ/mol of formula units
**Crystal system**: trigonal
**Total energy**: -73.60 eV per cell

```
data_Pm3YSn3
_chemical_formula_sum 'Pm6 Y2 Sn6'
_space_group_name_H-M_alt 'P 1'
_space_group_IT_number 1
_cell_length_a 9.291
_cell_length_b 9.291
_cell_length_c 8.237
_cell_angle_alpha 55.67
_cell_angle_beta 55.67
_cell_angle_gamma 60.00
loop_
_space_group_symop_operation_xyz
'x,y,z'
loop_
_atom_site_label
_atom_site_type_symbol
_atom_site_fract_x
_atom_site_fract_y
_atom_site_fract_z
Sn1 Sn 0.930 0.308 0.222
Sn2 Sn 0.070 0.692 0.778
Sn3 Sn 0.308 0.540 0.222
Sn4 Sn 0.460 0.070 0.778
Sn5 Sn 0.540 0.930 0.222
Sn6 Sn 0.692 0.460 0.778
Pm1 Pm 0.901 0.645 0.275
Pm2 Pm 0.821 0.099 0.725
Pm3 Pm 0.355 0.821 0.725
Pm4 Pm 0.099 0.355 0.725
Pm5 Pm 0.645 0.179 0.275
Pm6 Pm 0.179 0.901 0.275
Y1 Y 0.667 0.667 0.998
Y2 Y 0.333 0.333 0.002
```